1.
# Hf2SnN PBE optimized geometry
data_Hf2SnN
_chemical_formula_sum 'Hf6 Sn3 N3'
_cell_length_a 3.2544
_cell_length_b 3.2544
_cell_length_c 22.0347
_cell_angle_alpha 90.00
_cell_angle_beta 90.00
_cell_angle_gamma 120.00
_symmetry_space_group_name_H-M 'R 3 m'
_symmetry_Int_Tables_number 160
_symmetry_space_group_name_Hall 'R 3 -2"'
loop_
_atom_site_label
_atom_site_type_symbol
_atom_site_fract_x
_atom_site_fract_y
_atom_site_fract_z
Hf1 Hf 0.0000 0.0000 0.0000
Hf2 Hf 0.0000 0.0000 0.2184
Sn1 Sn 0.0000 0.0000 0.4418
N1 N 0.0000 0.0000 0.6099
# VASP energy, eV/cell: -108.9
# Uncorrected formation energy, eV/atom: -1.02

=====

2.
# Hf8Sn2N3 PBE optimized geometry
data_Hf8Sn2N3
_chemical_formula_sum 'Hf16 Sn4 N6'
_cell_length_a 14.769
_cell_length_b 6.413
_cell_length_c 5.654
_cell_angle_alpha 90.00
_cell_angle_beta 107.42
_cell_angle_gamma 90.00
_symmetry_space_group_name_H-M 'C 1 2/m 1'
_symmetry_Int_Tables_number 12
loop_
_symmetry_equiv_pos_as_xyz
'x,y,z'
'-x,-y,-z'
'-x,y,-z'
'x,-y,z'
'x+1/2,y+1/2,z'
'-x+1/2,-y+1/2,-z'
'-x+1/2,y+1/2,-z'
'x+1/2,-y+1/2,z'
loop_
_atom_site_label
_atom_site_type_symbol
_atom_site_fract_x
_atom_site_fract_y
_atom_site_fract_z
Hf1 Hf 0.083 0.000 0.393
Hf2 Hf 0.084 0.254 0.903
Hf3 Hf 0.099 0.500 0.443
Sn1 Sn 0.245 0.000 0.834
N1 N 0.000 0.000 0.000
N2 N 0.000 0.245 0.500
# VASP energy, eV/cell: -243.2
# Uncorrected formation energy, eV/atom: -0.69

=====

Among the records above, which one has the highest VASP energy? Hf2SnN

=====

Which formula does entry 2 have? Hf8Sn2N3